1.
First-principles (PBE) data for a geometry-optimized Pr2UPaN4 structure, as listed in Alexandria via LeMat-Bulk.

For the uncorrected formation energy, the calculation gives -33.7 kcal/mol of atoms.

The space group is P2/m (No. 10) and the conventional cell measures 6.172, 3.559 and 6.192 Å, with angles of 90.00, 109.23 and 90.00 degrees. Symmetry generates all atoms from Pr at (0.000, 0.000, 0.000), Pr at (0.500, 0.500, 0.000), U at (0.000, 0.500, 0.500), Pa at (0.500, 0.000, 0.500), N at (0.229, 0.000, 0.702) and N at (0.259, 0.500, 0.297).

=====

2.
First-principles (PBE) data for a geometry-optimized Pr4UPa3N8 structure, as listed in Alexandria via LeMat-Bulk.

For the uncorrected formation energy, the calculation gives -34.9 kcal/mol of atoms.

The space group is R-3m (No. 166, hexagonal axes) and the conventional cell measures 7.1481, 7.1481 and 17.5629 Å, with angles of 90.00, 90.00 and 120.00 degrees. Symmetry generates all atoms from Pr at (0.0000, 0.0000, 0.0000), Pr at (0.0000, 0.5000, 0.0000), U at (0.0000, 0.0000, 0.5000), Pa at (0.0000, 0.5000, 0.5000), N at (0.0000, 0.0000, 0.2350) and N at (0.0081, 0.5041, 0.2343).

=====

3.
First-principles (PBE) data for a geometry-optimized Pr3UPa3N8 structure, as listed in Alexandria via LeMat-Bulk.

For the uncorrected formation energy, the calculation gives -33.0 kcal/mol of atoms.

The space group is R-3m (No. 166, hexagonal axes) and the conventional cell measures 7.1287, 7.1287 and 17.4961 Å, with angles of 90.00, 90.00 and 120.00 degrees. Symmetry generates all atoms from Pr at (0.0000, 0.5000, 0.0000), U at (0.0000, 0.0000, 0.5000), Pa at (0.0000, 0.5000, 0.5000), N at (0.0000, 0.0000, 0.2345) and N at (0.0158, 0.5079, 0.2292).

=====

4.
First-principles (PBE) data for a geometry-optimized PrPaVN4 structure, as listed in Alexandria via LeMat-Bulk.

For the uncorrected formation energy, the calculation gives -27.9 kcal/mol of atoms.

The space group is P2_1/m (No. 11) and the conventional cell measures 5.839, 5.498 and 6.862 Å, with angles of 90.00, 108.23 and 90.00 degrees. Symmetry generates all atoms from Pr at (0.209, 0.250, 0.427), Pa at (0.280, 0.250, 0.947), V at (0.263, 0.750, 0.190), N at (0.055, 0.750, 0.346), N at (0.058, 0.750, 0.932) and N at (0.477, 0.503, 0.217).

=====

5.
First-principles (PBE) data for a geometry-optimized PrPa2VN4 structure, as listed in Alexandria via LeMat-Bulk.

For the uncorrected formation energy, the calculation gives -30.3 kcal/mol of atoms.

The space group is Cmcm (No. 63) and the conventional cell measures 3.454, 11.776 and 11.702 Å, with angles of 90.00, 90.00 and 90.00 degrees. Symmetry generates all atoms from Pr at (0.000, 0.100, 0.250), Pa at (0.000, 0.368, 0.051), V at (0.000, 0.162, 0.750), N at (0.000, 0.000, 0.000), N at (0.000, 0.267, 0.620) and N at (0.000, 0.434, 0.250).

=====

6.
First-principles (PBE) data for a geometry-optimized PrYPaN3 structure, as listed in Alexandria via LeMat-Bulk.

For the uncorrected formation energy, the calculation gives -32.1 kcal/mol of atoms.

The space group is P2_1/m (No. 11) and the conventional cell measures 6.066, 3.572 and 9.252 Å, with angles of 90.00, 101.72 and 90.00 degrees. Symmetry generates all atoms from Pr at (0.157, 0.250, 0.198), Y at (0.264, 0.750, 0.539), Pa at (0.359, 0.250, 0.848), N at (0.051, 0.250, 0.667), N at (0.270, 0.750, 0.995) and N at (0.463, 0.750, 0.342).

=====

7.
First-principles (PBE) data for a geometry-optimized Pr4YPa3N8 structure, as listed in Alexandria via LeMat-Bulk.

For the uncorrected formation energy, the calculation gives -36.0 kcal/mol of atoms.

The space group is R-3m (No. 166, hexagonal axes) and the conventional cell measures 7.1369, 7.1369 and 17.7576 Å, with angles of 90.00, 90.00 and 120.00 degrees. Symmetry generates all atoms from Pr at (0.0000, 0.0000, 0.0000), Pr at (0.0000, 0.5000, 0.0000), Y at (0.0000, 0.0000, 0.5000), Pa at (0.0000, 0.5000, 0.5000), N at (0.0000, 0.0000, 0.2357) and N at (0.0124, 0.5062, 0.7632).

=====

8.
First-principles (PBE) data for a geometry-optimized PrPa2ZnN4 structure, as listed in Alexandria via LeMat-Bulk.

For the uncorrected formation energy, the calculation gives -25.9 kcal/mol of atoms.

The space group is Cmcm (No. 63) and the conventional cell measures 3.610, 11.762 and 11.505 Å, with angles of 90.00, 90.00 and 90.00 degrees. Symmetry generates all atoms from Pr at (0.000, 0.090, 0.250), Pa at (0.000, 0.372, 0.052), Zn at (0.000, 0.172, 0.750), N at (0.000, 0.000, 0.000), N at (0.000, 0.263, 0.606) and N at (0.000, 0.429, 0.250).

=====

9.
First-principles (PBE) data for a geometry-optimized PrPa2ZnN5 structure, as listed in Alexandria via LeMat-Bulk.

For the uncorrected formation energy, the calculation gives -28.3 kcal/mol of atoms.

The space group is I4/mcm (No. 140) and the conventional cell measures 6.606, 6.606 and 11.325 Å, with angles of 90.00, 90.00 and 90.00 degrees. Symmetry generates all atoms from Pr at (0.000, 0.000, 0.250), Pa at (0.173, 0.327, 0.000), Zn at (0.000, 0.500, 0.250), N at (0.000, 0.000, 0.000) and N at (0.158, 0.342, 0.369).

=====

10.
First-principles (PBE) data for a geometry-optimized Pr2ZrPaN4 structure, as listed in Alexandria via LeMat-Bulk.

For the uncorrected formation energy, the calculation gives -35.6 kcal/mol of atoms.

The space group is P2/m (No. 10) and the conventional cell measures 6.017, 3.505 and 6.192 Å, with angles of 90.00, 108.73 and 90.00 degrees. Symmetry generates all atoms from Pr at (0.000, 0.000, 0.000), Pr at (0.500, 0.500, 0.000), Zr at (0.000, 0.500, 0.500), Pa at (0.500, 0.000, 0.500), N at (0.236, 0.000, 0.707) and N at (0.259, 0.500, 0.292).

=====

11.
First-principles (PBE) data for a geometry-optimized Pr3ZrPa2N6 structure, as listed in Alexandria via LeMat-Bulk.

For the uncorrected formation energy, the calculation gives -36.0 kcal/mol of atoms.

The space group is C2/m (No. 12) and the conventional cell measures 6.097, 10.560 and 6.217 Å, with angles of 90.00, 108.99 and 90.00 degrees. Symmetry generates all atoms from Pr at (0.000, 0.000, 0.000), Pr at (0.000, 0.335, 0.000), Zr at (0.000, 0.500, 0.500), Pa at (0.000, 0.167, 0.500), N at (0.235, 0.333, 0.705) and N at (0.236, 0.000, 0.709).

=====

12.
First-principles (PBE) data for a geometry-optimized Pr3ZrPa3N8 structure, as listed in Alexandria via LeMat-Bulk.

For the uncorrected formation energy, the calculation gives -34.2 kcal/mol of atoms.

The space group is R-3m (No. 166, hexagonal axes) and the conventional cell measures 7.0115, 7.0115 and 17.5971 Å, with angles of 90.00, 90.00 and 120.00 degrees. Symmetry generates all atoms from Pr at (0.0000, 0.5000, 0.0000), Zr at (0.0000, 0.0000, 0.5000), Pa at (0.0000, 0.5000, 0.5000), N at (0.0000, 0.0000, 0.2371) and N at (0.0101, 0.5051, 0.2320).